{"formula": "MgGaAgSb", "functional": "PBE", "state": "relaxed", "lattice": [[4.992, 0.000, 0.000], [2.496, 4.323, 0.000], [2.496, 1.441, 4.076]], "species": ["Ga", "Sb", "Ag", "Mg"], "fractional_positions": [[0.500, 0.500, 0.500], [0.000, 0.000, 0.000], [0.250, 0.250, 0.250], [0.750, 0.750, 0.750]], "e_tot_ev_per_cell": -11.63, "sg": "No. 216"}

{"formula": "InSbN2F", "functional": "PBE", "state": "relaxed", "lattice": [[4.163, 0.000, 0.000], [0.000, 4.163, 0.000], [0.000, 0.000, 4.219]], "species": ["N", "N", "F", "In", "Sb"], "fractional_positions": [[0.500, 0.000, 0.000], [0.000, 0.500, 0.000], [0.000, 0.000, 0.500], [0.500, 0.500, 0.500], [0.000, 0.000, 0.000]], "sg": "No. 123", "relative_energy_ev_per_atom": 0.000}

{"formula": "La2PmPrGa2", "functional": "PBE", "state": "relaxed", "lattice": [[-4.824, 1.438, 1.400], [-2.577, -3.679, -5.100], [-0.603, -7.801, 5.932]], "species": ["Pr", "Pr", "Pm", "Pm", "Ga", "Ga", "Ga", "Ga", "La", "La", "La", "La"], "fractional_positions": [[0.000, 0.493, 0.553], [0.000, 0.993, 0.447], [0.500, 0.195, 0.670], [0.500, 0.695, 0.330], [0.000, 0.291, 0.843], [0.000, 0.791, 0.157], [0.500, 0.727, 0.643], [0.500, 0.227, 0.357], [0.000, 0.818, 0.833], [0.500, 0.022, 0.060], [0.000, 0.318, 0.167], [0.500, 0.522, 0.940]], "sg": "No. 26", "formation_enthalpy_0k_kj_per_mol_fu": -233}

{"formula": "TbTl2P2Pd7", "functional": "PBE", "state": "relaxed", "lattice": [[4.085, -0.003, -0.085], [0.002, 4.085, -0.085], [1.645, 1.643, 13.582]], "species": ["Pd", "Pd", "Pd", "Pd", "Pd", "Pd", "Pd", "Tl", "Tl", "P", "P", "Tb"], "fractional_positions": [[0.053, 0.553, 0.842], [0.500, 0.500, 0.000], [0.611, 0.611, 0.585], [0.447, 0.947, 0.158], [0.947, 0.447, 0.158], [0.389, 0.389, 0.415], [0.553, 0.053, 0.842], [0.104, 0.104, 0.610], [0.896, 0.896, 0.390], [0.419, 0.419, 0.246], [0.581, 0.581, 0.754], [0.000, 0.000, 0.000]], "sg": "No. 12", "formation_enthalpy_0k_kj_per_mol_fu": -553}

{"formula": "Sr2CoP", "functional": "PBE", "state": "relaxed", "lattice": [[-4.518, 0.377, -0.208], [-2.273, -1.857, -3.462], [-2.957, -6.667, 2.536]], "species": ["Sr", "Sr", "Co", "P"], "fractional_positions": [[0.513, 0.513, 0.459], [0.987, 0.987, 0.041], [0.750, 0.750, 0.750], [0.250, 0.250, 0.250]], "sg": "No. 166", "formation_enthalpy_0k_kj_per_mol_fu": -7}

{"formula": "Nd2US5", "functional": "PBE", "state": "relaxed", "lattice": [[-4.969, -1.645, 1.368], [4.459, -5.694, -1.350], [3.628, -0.222, 12.916]], "species": ["S", "S", "S", "S", "S", "S", "S", "S", "S", "S", "Nd", "Nd", "Nd", "Nd", "U", "U"], "fractional_positions": [[0.740, 0.481, 0.250], [0.695, 0.389, 0.581], [0.048, 0.097, 0.121], [0.048, 0.097, 0.379], [0.952, 0.903, 0.879], [0.952, 0.903, 0.621], [0.695, 0.389, 0.919], [0.305, 0.611, 0.081], [0.260, 0.519, 0.750], [0.305, 0.611, 0.419], [0.145, 0.290, 0.938], [0.145, 0.290, 0.562], [0.855, 0.710, 0.438], [0.855, 0.710, 0.062], [0.808, 0.617, 0.750], [0.192, 0.383, 0.250]], "sg": "No. 63", "relative_energy_ev_per_atom": 0.091}

Volume, respectively: 21.99; 14.62; 29.05; 18.98; 32.39; 31.04 Å³/atom.